Density functional theory data (GGA-PBE) for a geometry-optimized CsMg3Cl structure.

Total energy   -6.8 eV for the cell shown
Energy relative to the lowest polymorph listed for this composition   0 meV per atom
Formation energy from raw total energies   138 meV/atom

a b c (Å): 5.9921 5.9921 5.9921
angles (deg): 90.00 90.00 90.00
Closest atoms and distances in Å follow each position.
Space group Pm-3m (No. 221)
One atom of each set of equivalent atoms:
Cs 0.0000 0.0000 0.0000  12 Mg 4.24
Mg 0.0000 0.5000 0.5000  2 Cl 3.00
Cl 0.5000 0.5000 0.5000  6 Mg 3.00